[1]
VASP calculation (GGA-PBE) on a relaxed structure of AgRh3.

Structure (extended XYZ):
```
4
Lattice="-1.955 1.955 3.911 1.955 -1.955 3.911 1.955 1.955 -3.911" Properties=species:S:1:pos:R:3 pbc="T T T"
Ag 0.000 0.000 0.000
Rh 1.955 0.000 1.956
Rh 0.000 0.000 3.911
Rh 0.000 1.955 1.956
```

Calculated values
crystal system: tetragonal

[2]
VASP calculation (GGA-PBE) on a relaxed structure of Ag2Rh.

Structure (extended XYZ):
```
12
Lattice="6.286 0.000 0.000 0.000 6.286 0.000 0.000 0.000 6.286" Properties=species:S:1:pos:R:3 pbc="T T T"
Ag 0.811 0.811 0.811
Ag 0.811 2.332 3.954
Ag 2.332 3.954 0.811
Ag 2.332 5.475 3.954
Ag 3.954 0.811 2.332
Ag 3.954 2.332 5.475
Ag 5.475 3.954 2.332
Ag 5.475 5.475 5.475
Rh 0.000 0.000 3.143
Rh 0.000 3.143 0.000
Rh 3.143 0.000 0.000
Rh 3.143 3.143 3.143
```

Calculated values
crystal system: cubic

[3]
VASP calculation (GGA-PBE) on a relaxed structure of Ag7Rh.

Structure (extended XYZ):
```
8
Lattice="0.000 4.105 4.105 4.105 0.000 4.105 4.105 4.105 0.000" Properties=species:S:1:pos:R:3 pbc="T T T"
Ag 0.000 0.000 0.000
Ag 2.053 2.053 0.000
Ag 2.053 0.000 2.053
Ag 4.105 2.053 2.053
Ag 0.000 2.053 2.053
Ag 2.053 4.105 2.053
Ag 2.053 2.053 4.105
Rh 4.105 4.105 4.105
```

Calculated values
crystal system: cubic

[4]
VASP calculation (GGA-PBE) on a relaxed structure of AgRh8.

Structure (extended XYZ):
```
9
Lattice="-4.115 4.115 1.934 4.115 -4.115 1.934 4.115 4.115 -1.934" Properties=species:S:1:pos:R:3 pbc="T T T"
Ag 0.000 0.000 0.000
Rh 2.776 0.000 0.000
Rh 5.454 0.000 0.000
Rh 2.695 2.695 0.000
Rh 1.420 -1.420 1.934
Rh 0.000 2.776 0.000
Rh 0.000 5.454 0.000
Rh -1.420 1.420 1.934
Rh 1.420 1.420 1.934
```

Calculated values
crystal system: tetragonal

[5]
VASP calculation (GGA-PBE) on a relaxed structure of AgRh3.

Structure (extended XYZ):
```
8
Lattice="4.987 0.000 0.000 0.000 4.987 0.000 0.000 0.000 4.987" Properties=species:S:1:pos:R:3 pbc="T T T"
Ag 0.000 0.000 0.000
Ag 2.494 2.494 2.494
Rh 0.000 1.247 2.494
Rh 0.000 3.740 2.494
Rh 1.247 2.494 0.000
Rh 2.494 0.000 1.247
Rh 2.494 0.000 3.740
Rh 3.740 2.494 0.000
```

Calculated values
crystal system: cubic

[6]
VASP calculation (GGA-PBE) on a relaxed structure of Ag2Rh.

Structure (extended XYZ):
```
3
Lattice="2.823 0.000 0.000 -1.411 2.445 0.000 0.000 0.000 7.141" Properties=species:S:1:pos:R:3 pbc="T T T"
Ag 0.000 1.630 2.346
Ag 1.411 0.815 4.795
Rh 0.000 0.000 0.000
```

Calculated values
crystal system: trigonal

[7]
VASP calculation (GGA-PBE) on a relaxed structure of AgRh3.

Structure (extended XYZ):
```
8
Lattice="-1.956 1.956 7.843 1.956 -1.956 7.843 1.956 1.956 -7.843" Properties=species:S:1:pos:R:3 pbc="T T T"
Ag 0.000 0.000 1.958
Ag 0.000 0.000 13.728
Rh 1.956 0.000 0.000
Rh 1.956 0.000 3.921
Rh 0.000 0.000 5.867
Rh 0.000 1.956 0.000
Rh 0.000 0.000 9.819
Rh 0.000 1.956 3.921
```

Calculated values
crystal system: tetragonal

[8]
VASP calculation (GGA-PBE) on a relaxed structure of Ag2Rh.

Structure (extended XYZ):
```
6
Lattice="0.000 3.744 3.744 3.744 0.000 3.744 3.744 3.744 0.000" Properties=species:S:1:pos:R:3 pbc="T T T"
Ag 0.000 0.000 0.000
Ag 1.872 1.872 0.000
Ag 1.872 0.000 1.872
Ag 0.000 1.872 1.872
Rh 2.808 2.808 2.808
Rh 4.680 4.680 4.680
```

Calculated values
crystal system: cubic

[9]
VASP calculation (GGA-PBE) on a relaxed structure of Ag2Rh.

Structure (extended XYZ):
```
6
Lattice="4.291 -2.502 0.000 4.291 2.502 0.000 0.000 0.000 4.660" Properties=species:S:1:pos:R:3 pbc="T T T"
Ag 1.411 0.766 1.165
Ag 1.411 -0.766 3.495
Ag 7.171 0.766 1.165
Ag 7.171 -0.766 3.495
Rh 4.291 0.650 1.165
Rh 4.291 -0.650 3.495
```

Calculated values
crystal system: orthorhombic

[10]
VASP calculation (GGA-PBE) on a relaxed structure of AgRh3.

Structure (extended XYZ):
```
8
Lattice="4.540 0.000 0.000 0.000 5.562 0.000 0.000 0.000 4.771" Properties=species:S:1:pos:R:3 pbc="T T T"
Ag 1.135 1.390 0.763
Ag 3.405 4.171 4.008
Rh 1.135 2.815 3.139
Rh 1.135 4.171 0.822
Rh 1.135 5.528 3.139
Rh 3.405 0.034 1.632
Rh 3.405 1.390 3.948
Rh 3.405 2.747 1.632
```

Calculated values
crystal system: orthorhombic

[11]
VASP calculation (GGA-PBE) on a relaxed structure of AgRh3.

Structure (extended XYZ):
```
4
Lattice="1.383 0.798 9.075 -1.383 0.798 9.075 0.000 -1.596 9.075" Properties=species:S:1:pos:R:3 pbc="T T T"
Ag 0.000 0.000 0.000
Rh 0.000 0.000 6.684
Rh 0.000 0.000 13.612
Rh 0.000 0.000 20.541
```

Calculated values
crystal system: trigonal

[12]
VASP calculation (GGA-PBE) on a relaxed structure of AgRh5.

Structure (extended XYZ):
```
6
Lattice="5.081 -1.371 0.000 5.081 1.371 0.000 -1.703 0.000 6.359" Properties=species:S:1:pos:R:3 pbc="T T T"
Ag 0.000 0.000 0.000
Rh -0.495 0.000 3.848
Rh 2.182 0.000 4.191
Rh 3.371 0.000 1.803
Rh 6.180 0.000 2.162
Rh 5.763 0.000 5.973
```

Calculated values
crystal system: monoclinic

[13]
VASP calculation (GGA-PBE) on a relaxed structure of Ag2Rh.

Structure (extended XYZ):
```
3
Lattice="0.000 3.110 3.110 3.110 0.000 3.110 3.110 3.110 0.000" Properties=species:S:1:pos:R:3 pbc="T T T"
Ag 1.555 1.555 1.555
Ag 4.665 4.665 4.665
Rh 0.000 0.000 0.000
```

Calculated values
crystal system: cubic

[14]
VASP calculation (GGA-PBE) on a relaxed structure of AgRh5.

Structure (extended XYZ):
```
6
Lattice="4.493 0.000 0.000 0.000 1.367 7.196 0.000 -1.367 7.196" Properties=species:S:1:pos:R:3 pbc="T T T"
Ag 0.000 0.000 0.000
Rh 0.000 0.000 4.730
Rh 0.000 0.000 9.640
Rh 2.247 0.000 1.617
Rh 2.247 0.000 6.337
Rh 2.247 0.000 11.197
```

Calculated values
crystal system: orthorhombic

[15]
VASP calculation (GGA-PBE) on a relaxed structure of Ag2Rh.

Structure (extended XYZ):
```
6
Lattice="1.408 -7.593 0.000 1.408 7.593 0.000 0.000 0.000 4.621" Properties=species:S:1:pos:R:3 pbc="T T T"
Ag 1.408 6.709 3.466
Ag 1.408 1.716 3.466
Ag 1.408 -1.716 1.155
Ag 1.408 -6.709 1.155
Rh 1.408 3.468 1.155
Rh 1.408 -3.468 3.466
```

Calculated values
crystal system: orthorhombic

[16]
VASP calculation (GGA-PBE) on a relaxed structure of AgRh3.

Structure (extended XYZ):
```
4
Lattice="4.682 0.000 0.000 0.000 4.682 0.000 0.000 0.000 2.772" Properties=species:S:1:pos:R:3 pbc="T T T"
Ag 0.000 0.000 0.000
Rh 0.000 2.341 1.386
Rh 2.341 0.000 1.386
Rh 2.341 2.341 0.000
```

Calculated values
crystal system: tetragonal

[17]
VASP calculation (GGA-PBE) on a relaxed structure of Ag2Rh.

Structure (extended XYZ):
```
6
Lattice="-1.376 1.376 13.519 1.376 -1.376 13.519 1.376 1.376 -13.519" Properties=species:S:1:pos:R:3 pbc="T T T"
Ag 1.376 0.688 1.257
Ag 1.376 0.688 5.502
Ag 0.000 0.688 8.017
Ag 0.000 0.688 12.262
Rh 1.376 -0.688 10.139
Rh 0.000 2.065 3.380
```

Calculated values
crystal system: tetragonal

[18]
VASP calculation (GGA-PBE) on a relaxed structure of Ag2Rh.

Structure (extended XYZ):
```
3
Lattice="-1.397 1.397 6.335 1.397 -1.397 6.335 1.397 1.397 -6.335" Properties=species:S:1:pos:R:3 pbc="T T T"
Ag 0.000 0.000 2.069
Ag 0.000 0.000 10.601
Rh 0.000 0.000 6.335
```

Calculated values
crystal system: tetragonal

[19]
VASP calculation (GGA-PBE) on a relaxed structure of Ag8Rh.

Structure (extended XYZ):
```
9
Lattice="-4.344 4.344 2.074 4.344 -4.344 2.074 4.344 4.344 -2.074" Properties=species:S:1:pos:R:3 pbc="T T T"
Ag 2.871 0.000 0.000
Ag 5.817 0.000 0.000
Ag 0.000 2.871 0.000
Ag 2.917 2.917 0.000
Ag 1.427 -1.427 2.074
Ag -1.427 1.427 2.074
Ag 1.427 1.427 2.074
Ag 0.000 5.817 0.000
Rh 0.000 0.000 0.000
```

Calculated values
crystal system: tetragonal

[20]
VASP calculation (GGA-PBE) on a relaxed structure of Ag4Rh.

Structure (extended XYZ):
```
5
Lattice="4.814 -1.420 0.000 4.814 1.420 0.000 -3.492 0.000 6.227" Properties=species:S:1:pos:R:3 pbc="T T T"
Ag -0.443 0.000 2.441
Ag 2.154 0.000 1.228
Ag 3.983 0.000 4.999
Ag 6.580 0.000 3.786
Rh 4.814 0.000 0.000
```

Calculated values
crystal system: monoclinic

[21]
VASP calculation (GGA-PBE) on a relaxed structure of AgRh3.

Structure (extended XYZ):
```
16
Lattice="4.791 0.000 0.000 0.000 9.092 0.000 0.000 0.000 5.525" Properties=species:S:1:pos:R:3 pbc="T T T"
Ag 0.340 2.273 0.751
Ag 2.055 6.819 3.513
Ag 2.736 2.273 2.012
Ag 4.451 6.819 4.775
Rh 0.386 2.273 3.556
Rh 1.145 4.614 2.079
Rh 1.145 9.024 2.079
Rh 1.251 0.068 4.842
Rh 1.251 4.478 4.842
Rh 2.010 6.819 0.794
Rh 2.781 2.273 4.732
Rh 3.540 4.614 0.683
Rh 3.540 9.024 0.683
Rh 3.647 0.068 3.446
Rh 3.647 4.478 3.446
Rh 4.405 6.819 1.969
```

Calculated values
crystal system: orthorhombic

[22]
VASP calculation (GGA-PBE) on a relaxed structure of Ag4Rh.

Structure (extended XYZ):
```
5
Lattice="-3.213 3.213 2.061 3.213 -3.213 2.061 3.213 3.213 -2.061" Properties=species:S:1:pos:R:3 pbc="T T T"
Ag 4.515 0.652 0.000
Ag 0.652 1.911 0.000
Ag 2.561 1.302 2.061
Ag -1.302 2.561 2.061
Rh 0.000 0.000 2.061
```

Calculated values
crystal system: tetragonal

[23]
VASP calculation (GGA-PBE) on a relaxed structure of AgRh3.

Structure (extended XYZ):
```
4
Lattice="2.772 -3.925 0.000 2.772 3.925 0.000 0.000 0.000 2.752" Properties=species:S:1:pos:R:3 pbc="T T T"
Ag 0.000 0.000 0.000
Rh 1.386 1.962 1.376
Rh 1.386 -1.962 1.376
Rh 2.772 0.000 0.000
```

Calculated values
crystal system: orthorhombic

[24]
VASP calculation (GGA-PBE) on a relaxed structure of Ag4Rh.

Structure (extended XYZ):
```
5
Lattice="-1.423 1.423 10.514 1.423 -1.423 10.514 1.423 1.423 -10.514" Properties=species:S:1:pos:R:3 pbc="T T T"
Ag 0.000 0.000 2.024
Ag 0.000 0.000 6.335
Ag 0.000 0.000 14.692
Ag 0.000 0.000 19.003
Rh 0.000 0.000 10.514
```

Calculated values
crystal system: tetragonal

[25]
VASP calculation (GGA-PBE) on a relaxed structure of Ag5Rh3.

Structure (extended XYZ):
```
16
Lattice="7.906 0.000 0.000 -3.953 6.847 0.000 0.000 0.000 5.100" Properties=species:S:1:pos:R:3 pbc="T T T"
Ag -0.870 1.508 1.275
Ag -3.082 5.339 3.825
Ag 1.741 0.000 1.275
Ag 0.870 1.508 3.825
Ag 0.000 4.564 0.000
Ag 0.000 4.564 2.550
Ag 3.953 2.282 0.000
Ag 3.953 2.282 2.550
Ag 6.165 0.000 3.825
Ag 3.082 5.339 1.275
Rh -1.655 2.867 3.825
Rh -2.297 3.979 1.275
Rh 3.311 0.000 3.825
Rh 1.655 2.867 1.275
Rh 4.595 0.000 1.275
Rh 2.297 3.979 3.825
```

Calculated values
crystal system: hexagonal

[26]
VASP calculation (GGA-PBE) on a relaxed structure of AgRh3.

Structure (extended XYZ):
```
4
Lattice="-1.379 4.540 2.401 1.379 -4.540 2.401 1.379 4.540 -2.401" Properties=species:S:1:pos:R:3 pbc="T T T"
Ag 0.000 0.000 0.000
Rh 1.379 2.349 -0.722
Rh 0.000 4.540 0.020
Rh 0.000 2.191 1.678
```

Calculated values
crystal system: orthorhombic

| no. | total DFT energy (no corrections) (eV per formula unit) | E_form (meV per atom) |
| --- | --- | --- |
| 1 | -23.9 | 240 |
| 2 | -10.3 | 913 |
| 3 | -26.5 | 107 |
| 4 | -60.5 | 129 |
| 5 | -23.1 | 449 |
| 6 | -12.5 | 178 |
| 7 | -23.8 | 279 |
| 8 | -11.4 | 550 |
| 9 | -12.3 | 249 |
| 10 | -23.8 | 278 |
| 11 | -24.3 | 151 |
| 12 | -38.6 | 168 |
| 13 | -11.0 | 684 |
| 14 | -38.6 | 174 |
| 15 | -12.5 | 179 |
| 16 | -23.5 | 356 |
| 17 | -12.2 | 288 |
| 18 | -12.4 | 230 |
| 19 | -29.2 | 103 |
| 20 | -18.0 | 155 |
| 21 | -24.0 | 225 |
| 22 | -17.9 | 168 |
| 23 | -23.9 | 251 |
| 24 | -18.0 | 152 |
| 25 | -32.9 | 424 |
| 26 | -24.0 | 235 |